(1)
Here is a relaxed Pm5Nd12Y crystal from Alexandria via LeMat-Bulk. Energies are from GGA-PBE.

M_tot in Bohr magnetons per cell: 0.00
Crystal system: monoclinic
Space-group type: No. 12
Energy relative to the elements in eV/atom: 0.075

a b c (Å): 12.1192 10.6315 5.9265
angles (deg): 90.04 90.07 55.25
Closest atoms and distances in Å follow each position.
Atoms (fractional coordinates):
Nd 0.8311 0.6417 0.5078  6 Nd 3.43-3.80, 4 Pm 3.53-3.72
Nd 0.8019 0.0000 0.4542  2 Nd 3.20-3.21, 2 Pm 3.39
Nd 0.5272 0.6417 0.4922  6 Nd 3.43-3.80, 4 Pm 3.53-3.72
Nd 0.0265 0.6419 0.0072  6 Nd 3.43-3.80, 3 Pm 3.54-3.71, 1 Y 3.63
Pm 0.8643 0.2714 0.5000  8 Nd 3.39-3.72
Nd 0.6684 0.3581 0.0072  6 Nd 3.43-3.80, 3 Pm 3.54-3.71, 1 Y 3.63
Nd 0.1981 0.0000 0.5458  2 Nd 3.20-3.21, 2 Pm 3.39
Pm 0.6372 0.7257 0.0000  8 Nd 3.43-3.71, 2 Pm 3.81
Nd 0.9735 0.3581 0.9928  6 Nd 3.43-3.80, 3 Pm 3.54-3.71, 1 Y 3.63
Pm 0.3629 0.2743 0.0000  8 Nd 3.43-3.71, 2 Pm 3.81
Nd 0.1689 0.3583 0.4922  6 Nd 3.43-3.80, 4 Pm 3.53-3.72
Pm 0.5000 0.0000 0.5000  8 Nd 3.62-3.67, 4 Pm 3.81
Nd 0.3316 0.6419 0.9928  6 Nd 3.43-3.80, 3 Pm 3.54-3.71, 1 Y 3.63
Nd 0.7008 0.0000 0.9528  2 Nd 3.20-3.21, 2 Pm 3.43
Pm 0.1357 0.7286 0.5000  8 Nd 3.39-3.72
Nd 0.2992 0.0000 0.0472  2 Nd 3.20-3.21, 2 Pm 3.43
Nd 0.4728 0.3583 0.5078  6 Nd 3.43-3.80, 4 Pm 3.53-3.72
Y 0.0000 0.0000 0.0000  10 Nd 3.61-4.03, 4 Pm 3.80

---

(2)
Here is a relaxed Sr2CaLaCo crystal from Alexandria via LeMat-Bulk. Energies are from GGA-PBE.

M_tot in Bohr magnetons per cell: 0.00
Crystal system: tetragonal
Space-group type: No. 123
Energy relative to the elements in eV/atom: 0.092

a b c (Å): 6.0642 6.0642 5.2366
angles (deg): 90.00 90.00 90.00
Closest atoms and distances in Å follow each position.
Atoms (fractional coordinates):
Co 0.0000 0.0000 0.0000  2 La 2.62
Ca 0.5000 0.5000 0.5000  8 Sr 4.01, 4 La 4.29
Sr 0.5000 0.0000 0.0000  2 Co 3.03
La 0.0000 0.0000 0.5000  2 Co 2.62
Sr 0.0000 0.5000 0.0000  2 Co 3.03

---

(3)
Here is a relaxed CdNiCl6 crystal from Alexandria via LeMat-Bulk. Energies are from GGA-PBE.

M_tot in Bohr magnetons per cell: 0.00
Distance to the lowest polymorph of the same formula in meV/atom: 0.0
Crystal system: monoclinic
Space-group type: No. 12

a b c (Å): 6.1821 7.2415 6.5182
angles (deg): 106.27 98.73 125.49
Closest atoms and distances in Å follow each position.
Atoms (fractional coordinates):
Cl 0.5537 0.2745 0.0000  1 Ni 2.25
Cl 0.8552 0.5754 0.7197  1 Ni 2.25
Cl 0.8645 0.1444 0.7197  1 Ni 2.25
Cl 0.1448 0.4246 0.2803  1 Ni 2.25
Cl 0.1355 0.8556 0.2803  1 Ni 2.25
Cd 0.0000 0.0000 0.0000  6 Cl 2.60-2.79
Ni 0.0000 0.5000 0.0000  6 Cl 2.25
Cl 0.4463 0.7255 0.0000  1 Ni 2.25